Entry from the Alexandria database: a geometry-optimized Cu3Pb structure (PBE).

Cell lengths 3.7062, 3.7062, 6.0932 Å; angles 90.00, 90.00, 120.00 degrees
Last column: nearest neighbours and their distance in Å.
Fractional positions:
Cu 0.0000 0.0000 0.0000  6 Cu 2.48
Cu 0.3333 0.6667 0.2042  4 Cu 2.48-2.49
Cu 0.3333 0.6667 0.7958  4 Cu 2.48-2.49
Pb 0.0000 0.0000 0.5000  8 Cu 2.80-3.05

## Properties
Symmetry: P-6m2 (187)
Magnetization in μB per formula unit: 0.00
Calculated formation energy in eV per formula unit: 1.434
E in hartree per atom: -0.134

***

Entry from the Alexandria database: a geometry-optimized CuPb3 structure (PBE).

Cell lengths 3.5525, 3.5703, 8.8517 Å; angles 90.00, 90.00, 90.00 degrees
Last column: nearest neighbours and their distance in Å.
Fractional positions:
Cu 0.0000 0.0000 0.0000  6 Pb 2.82-2.83
Pb 0.0000 0.5000 0.4763  10 Pb 3.43-3.57
Pb 0.5000 0.0000 0.7531  2 Cu 2.82
Pb 0.5000 0.5000 0.1453  4 Cu 2.83

## Properties
Symmetry: Pmm2 (25)
Magnetization in μB per formula unit: 0.00
Calculated formation energy in eV per formula unit: 0.730
E in hartree per atom: -0.133

***

Entry from the Alexandria database: a geometry-optimized Cu3Pb5 structure (PBE).

Cell lengths 6.5014, 7.0799, 8.7313 Å; angles 89.28, 81.88, 79.08 degrees
Last column: nearest neighbours and their distance in Å.
Fractional positions:
Cu 0.0316 0.1597 0.0435  1 Cu 2.52, 1 Pb 2.81
Cu 0.1840 0.9934 0.5325  1 Cu 2.52, 1 Pb 2.81
Cu 0.3961 0.4639 0.2620  7 Pb 2.82-2.95
Cu 0.6039 0.5361 0.7380  7 Pb 2.82-2.95
Cu 0.8160 0.0066 0.4675  1 Cu 2.52, 1 Pb 2.81
Cu 0.9684 0.8403 0.9565  1 Cu 2.52, 1 Pb 2.81
Pb 0.0021 0.3268 0.3434  4 Cu 2.85-3.02
Pb 0.1441 0.8304 0.2357  5 Cu 2.82-2.91
Pb 0.2684 0.4459 0.9542  4 Cu 2.81-3.09
Pb 0.3914 0.9251 0.8241  4 Cu 2.89-3.04
Pb 0.4269 0.2785 0.5521  4 Cu 2.81-2.95
Pb 0.5731 0.7215 0.4479  4 Cu 2.81-2.95
Pb 0.6086 0.0749 0.1759  4 Cu 2.89-3.04
Pb 0.7316 0.5541 0.0458  4 Cu 2.81-3.09
Pb 0.8559 0.1696 0.7643  5 Cu 2.82-2.91
Pb 0.9979 0.6732 0.6566  4 Cu 2.85-3.02

## Properties
Relative energy among the computed polymorphs in meV per atom: 0.0
Symmetry: P-1 (2)
Magnetization in μB per formula unit: 0.00
Calculated formation energy in eV per formula unit: 1.340
E in hartree per atom: -0.135

***

Entry from the Alexandria database: a geometry-optimized CuPb structure (PBE).

Cell lengths 7.4813, 7.4813, 7.4813 Å; angles 92.97, 92.97, 153.71 degrees
Last column: nearest neighbours and their distance in Å.
Fractional positions:
Cu 0.0819 0.4014 0.4834  5 Cu 2.53-2.64
Cu 0.4014 0.9181 0.3195  5 Cu 2.53-2.64
Cu 0.5986 0.0819 0.6805  5 Cu 2.53-2.64
Cu 0.9181 0.5986 0.5166  5 Cu 2.53-2.64
Pb 0.1181 0.8048 0.9229  4 Cu 2.87-3.14
Pb 0.1952 0.1181 0.3133  4 Cu 2.87-3.14
Pb 0.8048 0.8819 0.6867  4 Cu 2.87-3.14
Pb 0.8819 0.1952 0.0771  4 Cu 2.87-3.14

## Properties
Symmetry: I4/m (87)
Magnetization in μB per formula unit: 0.00
Calculated formation energy in eV per formula unit: 0.369
E in hartree per atom: -0.137

***

Entry from the Alexandria database: a geometry-optimized CuPb structure (PBE).

Cell lengths 6.9762, 7.0298, 7.2234 Å; angles 90.00, 90.00, 90.00 degrees
Last column: nearest neighbours and their distance in Å.
Fractional positions:
Cu 0.1402 0.1014 0.2561  2 Cu 2.49-2.53, 2 Pb 2.67-2.77
Cu 0.1866 0.4504 0.2878  2 Cu 2.49-2.53, 2 Pb 2.72-2.76
Cu 0.3134 0.5496 0.7878  2 Cu 2.49-2.53, 2 Pb 2.72-2.76
Cu 0.3598 0.8986 0.7561  2 Cu 2.49-2.53, 2 Pb 2.67-2.77
Cu 0.6402 0.3986 0.7439  2 Cu 2.49-2.53, 2 Pb 2.67-2.77
Cu 0.6866 0.0496 0.7122  2 Cu 2.49-2.53, 2 Pb 2.72-2.76
Cu 0.8134 0.9504 0.2122  2 Cu 2.49-2.53, 2 Pb 2.72-2.76
Cu 0.8598 0.6014 0.2439  2 Cu 2.49-2.53, 2 Pb 2.67-2.77
Pb 0.0070 0.7917 0.5726  5 Cu 2.89-3.14
Pb 0.1862 0.7721 0.0782  5 Cu 2.67-2.84
Pb 0.3138 0.2279 0.5782  5 Cu 2.67-2.84
Pb 0.4930 0.2083 0.0726  5 Cu 2.89-3.14
Pb 0.5070 0.7083 0.4274  5 Cu 2.89-3.14
Pb 0.6862 0.7279 0.9218  5 Cu 2.67-2.84
Pb 0.8138 0.2721 0.4218  5 Cu 2.67-2.84
Pb 0.9930 0.2917 0.9274  5 Cu 2.89-3.14

## Properties
Symmetry: P2_12_12_1 (19)
Magnetization in μB per formula unit: 0.00
Calculated formation energy in eV per formula unit: 0.444
E in hartree per atom: -0.135

***

Entry from the Alexandria database: a geometry-optimized Cu3Pb structure (PBE).

Cell lengths 3.0610, 3.9516, 5.5734 Å; angles 90.00, 90.00, 90.00 degrees
Last column: nearest neighbours and their distance in Å.
Fractional positions:
Cu 0.0000 0.0000 0.0000  4 Cu 2.51
Cu 0.0000 0.5000 0.2766  6 Cu 2.51-2.54
Cu 0.5000 0.0000 0.3572  6 Cu 2.51-2.54
Pb 0.5000 0.5000 0.7434  8 Cu 2.88-3.02, 2 Pb 3.06

## Properties
Symmetry: Pmm2 (25)
Magnetization in μB per formula unit: 0.00
Calculated formation energy in eV per formula unit: 1.029
E in hartree per atom: -0.138

***

Entry from the Alexandria database: a geometry-optimized CuPb structure (PBE).

Cell lengths 7.2291, 7.2291, 7.2291 Å; angles 109.47, 109.47, 109.47 degrees
Last column: nearest neighbours and their distance in Å.
Fractional positions:
Cu 0.0000 0.0000 0.6658  4 Pb 2.62-2.67
Cu 0.0000 0.6658 0.0000  4 Pb 2.62-2.67
Cu 0.3342 0.3342 0.3342  4 Pb 2.62-2.67
Cu 0.6658 0.0000 0.0000  4 Pb 2.62-2.67
Pb 0.0000 0.0000 0.3034  4 Cu 2.62-2.67
Pb 0.0000 0.3034 0.0000  4 Cu 2.62-2.67
Pb 0.3034 0.0000 0.0000  4 Cu 2.62-2.67
Pb 0.6966 0.6966 0.6966  4 Cu 2.62-2.67

## Properties
Symmetry: I-43m (217)
Magnetization in μB per formula unit: 0.00
Calculated formation energy in eV per formula unit: 1.192
E in hartree per atom: -0.122

***

Entry from the Alexandria database: a geometry-optimized CuPb structure (PBE).

Cell lengths 3.6026, 3.6026, 8.1322 Å; angles 90.00, 90.00, 120.00 degrees
Last column: nearest neighbours and their distance in Å.
Fractional positions:
Cu 0.3333 0.6667 0.0787  3 Cu 2.44
Cu 0.6667 0.3333 0.9213  3 Cu 2.44
Pb 0.3333 0.6667 0.6849  3 Cu 2.83
Pb 0.6667 0.3333 0.3151  3 Cu 2.83

## Properties
Symmetry: P-3m1 (164)
Magnetization in μB per formula unit: 0.00
Calculated formation energy in eV per formula unit: 0.563
E in hartree per atom: -0.133

***

Entry from the Alexandria database: a geometry-optimized Cu4Pb structure (PBE).

Cell lengths 5.0300, 5.0300, 5.0300 Å; angles 96.34, 96.34, 141.17 degrees
Last column: nearest neighbours and their distance in Å.
Fractional positions:
Cu 0.1158 0.6659 0.7816  7 Cu 2.55-2.71, 1 Pb 2.81
Cu 0.3341 0.1158 0.4499  7 Cu 2.55-2.71, 1 Pb 2.81
Cu 0.6659 0.8842 0.5501  7 Cu 2.55-2.71, 1 Pb 2.81
Cu 0.8842 0.3341 0.2184  7 Cu 2.55-2.71, 1 Pb 2.81
Pb 0.5000 0.5000 0.0000  12 Cu 2.81-2.90

## Properties
Relative energy among the computed polymorphs in meV per atom: 0.0
Symmetry: I4/m (87)
Magnetization in μB per formula unit: 0.00
Calculated formation energy in eV per formula unit: 0.914
E in hartree per atom: -0.141

***

Entry from the Alexandria database: a geometry-optimized Cu5Pb structure (PBE).

Cell lengths 4.6500, 4.6500, 6.1873 Å; angles 107.19, 107.19, 44.07 degrees
Last column: nearest neighbours and their distance in Å.
Fractional positions:
Cu 0.0000 0.0000 0.0000  10 Cu 2.55-2.70
Cu 0.3305 0.3305 0.1338  9 Cu 2.50-2.73
Cu 0.3349 0.3349 0.7193  6 Cu 2.55-2.73, 3 Pb 2.77-2.85
Cu 0.6651 0.6651 0.2807  6 Cu 2.55-2.73, 3 Pb 2.77-2.85
Cu 0.6695 0.6695 0.8662  9 Cu 2.50-2.73
Pb 0.0000 0.0000 0.5000  12 Cu 2.77-3.09

## Properties
Symmetry: C2/m (12)
Magnetization in μB per formula unit: 0.00
Calculated formation energy in eV per formula unit: 0.955
E in hartree per atom: -0.142

***

Entry from the Alexandria database: a geometry-optimized Cu3Pb structure (PBE).

Cell lengths 4.1766, 4.1766, 5.1145 Å; angles 113.18, 113.18, 59.97 degrees
Last column: nearest neighbours and their distance in Å.
Fractional positions:
Cu 0.0000 0.0000 0.0000  6 Cu 2.47
Cu 0.2939 0.2939 0.8798  6 Cu 2.47-2.66
Cu 0.7061 0.7061 0.1202  6 Cu 2.47-2.66
Pb 0.5000 0.5000 0.5000  8 Cu 2.83-2.98

## Properties
Symmetry: C2/m (12)
Magnetization in μB per formula unit: 0.00
Calculated formation energy in eV per formula unit: 0.950
E in hartree per atom: -0.138

***

Entry from the Alexandria database: a geometry-optimized CuPb3 structure (PBE).

Cell lengths 6.1756, 6.1756, 6.1756 Å; angles 116.56, 116.56, 116.56 degrees
Last column: nearest neighbours and their distance in Å.
Fractional positions:
Cu 0.0000 0.0000 0.0000  6 Pb 3.25, 2 Cu 3.48
Pb 0.0000 0.5000 0.5000  6 Pb 3.25-3.48, 2 Cu 3.25
Pb 0.5000 0.0000 0.5000  2 Cu 3.25, 6 Pb 3.25-3.48
Pb 0.5000 0.5000 0.0000  6 Pb 3.25-3.48, 2 Cu 3.25

## Properties
Symmetry: R-3m (166)
Magnetization in μB per formula unit: 0.00
Calculated formation energy in eV per formula unit: 1.383
E in hartree per atom: -0.127